No. 1
This record from Alexandria describes an optimized crystal structure of Ce6Os2Pt. The functional is PBE.

Excess energy over the best structure of this formula in the dataset   0 meV per atom
DFT formation energy   -0.381 eV per atom

Cell lengths 5.621, 5.621, 8.828 Å; angles 99.55, 99.55, 50.37 degrees
Fractional coordinates of all 9 atoms:
Ce 0.056 0.056 0.338
Ce 0.315 0.315 0.917
Ce 0.390 0.390 0.335
Ce 0.610 0.610 0.665
Ce 0.685 0.685 0.083
Ce 0.944 0.944 0.662
Os 0.271 0.271 0.621
Os 0.729 0.729 0.379
Pt 0.000 0.000 0.000

No. 2
This record from Alexandria describes an optimized crystal structure of Ce4OsPt. The functional is PBE.

DFT formation energy   -0.452 eV per atom

Cell lengths 7.411, 7.411, 5.969 Å; angles 98.57, 98.57, 112.04 degrees
Fractional coordinates of all 12 atoms:
Ce 0.069 0.698 0.950
Ce 0.217 0.387 0.601
Ce 0.302 0.931 0.550
Ce 0.387 0.217 0.101
Ce 0.613 0.783 0.899
Ce 0.698 0.069 0.450
Ce 0.783 0.613 0.399
Ce 0.931 0.302 0.050
Os 0.003 0.997 0.250
Os 0.997 0.003 0.750
Pt 0.382 0.618 0.250
Pt 0.618 0.382 0.750

No. 3
This record from Alexandria describes an optimized crystal structure of Ce3OsPt. The functional is PBE.

DFT formation energy   -0.503 eV per atom

Cell lengths 5.833, 5.833, 9.868 Å; angles 102.79, 102.79, 45.80 degrees
Fractional coordinates of all 10 atoms:
Ce 0.060 0.060 0.374
Ce 0.348 0.348 0.894
Ce 0.378 0.378 0.330
Ce 0.622 0.622 0.670
Ce 0.652 0.652 0.106
Ce 0.940 0.940 0.626
Os 0.276 0.276 0.612
Os 0.724 0.724 0.388
Pt 0.076 0.076 0.907
Pt 0.924 0.924 0.093

Which of these has the highest DFT formation energy? Ce6Os2Pt